Crystalline KCaY at its relaxed geometry, computed with PBE-GGA.

abc: 3.788 3.786 20.692
angles: 90.00 90.00 120.02
Element x y z (fractional)
Y 0.609 0.218 0.355
Y 0.609 0.218 0.645
Ca 0.275 0.551 0.500
Ca 0.617 0.234 0.000
K 0.278 0.556 0.181
K 0.278 0.556 0.819

Its space-group type is Amm2 (38). The formation energy comes out at 0.28 eV/atom.

=====

Crystalline Cs2HgCl at its relaxed geometry, computed with PBE-GGA.

abc: 9.658 9.658 8.504
angles: 55.40 55.40 90.00
Element x y z (fractional)
Hg 0.750 0.250 0.500
Hg 0.000 0.000 0.000
Cs 0.176 0.625 0.250
Cs 0.875 0.824 0.750
Cs 0.375 0.426 0.750
Cs 0.574 0.125 0.250
Cl 0.250 0.750 0.500
Cl 0.500 0.500 0.000

Its space-group type is I-42d (122). The uncorrected formation energy comes out at -0.942 eV/atom.

=====

Crystalline LaCoSe at its relaxed geometry, computed with PBE-GGA.

abc: 5.775 5.686 3.507
angles: 73.57 70.80 35.63
Element x y z (fractional)
La 0.340 0.340 0.660
Co 0.029 0.029 0.971
Se 0.631 0.631 0.369

Its space-group type is Fmm2 (42). The uncorrected formation energy comes out at -0.407 eV/atom.

=====

Crystalline AsRh at its relaxed geometry, computed with PBE-GGA.

abc: 4.241 4.241 4.241
angles: 41.91 41.91 41.91
Element x y z (fractional)
Rh 0.500 0.500 0.500
As 0.000 0.000 0.000

Its space-group type is R-3m (166). The formation energy comes out at -0.22 eV/atom.

=====

Crystalline KY2CdAs at its relaxed geometry, computed with PBE-GGA.

abc: 5.784 5.346 5.784
angles: 90.00 90.00 90.00
Element x y z (fractional)
As 0.000 0.500 0.000
Y 0.500 0.000 0.000
Y 0.000 0.000 0.500
Cd 0.000 0.000 0.000
K 0.500 0.500 0.500

Its space-group type is P4/mmm (123). The formation energy comes out at 0.42 eV/atom.

=====

Crystalline PrNd2Cu at its relaxed geometry, computed with PBE-GGA.

abc: 6.622 7.070 10.234
angles: 90.00 90.00 90.00
Element x y z (fractional)
Nd 0.673 0.809 0.558
Nd 0.173 0.691 0.058
Nd 0.827 0.309 0.558
Nd 0.673 0.809 0.942
Nd 0.173 0.691 0.442
Nd 0.327 0.191 0.442
Nd 0.827 0.309 0.942
Nd 0.327 0.191 0.058
Cu 0.573 0.103 0.750
Cu 0.927 0.603 0.750
Cu 0.073 0.397 0.250
Cu 0.427 0.897 0.250
Pr 0.359 0.479 0.750
Pr 0.141 0.979 0.750
Pr 0.641 0.521 0.250
Pr 0.859 0.021 0.250

Its space-group type is Pnma (62). The formation energy comes out at -0.06 eV/atom.